No. 1
Crystalline GdErHgAu at its relaxed geometry, computed with PBE.

Calculated values
SG: F-43m (216)
Size of the total moment in μB per formula unit: 7.173

The structure in POSCAR format:
```
GdErHgAu
1.0
0.000 3.664 3.664
3.664 0.000 3.664
3.664 3.664 0.000
Gd Er Hg Au
1 1 1 1
direct
0.000 0.000 0.000
0.500 0.500 0.500
0.250 0.250 0.250
0.750 0.750 0.750
```

No. 2
Crystalline GdErInAu at its relaxed geometry, computed with PBE.

Calculated values
SG: F-43m (216)
Size of the total moment in μB per formula unit: 7.367

The structure in POSCAR format:
```
GdErInAu
1.0
0.000 3.693 3.693
3.693 0.000 3.693
3.693 3.693 0.000
Gd Er In Au
1 1 1 1
direct
0.000 0.000 0.000
0.500 0.500 0.500
0.250 0.250 0.250
0.750 0.750 0.750
```

No. 3
Crystalline GdErIrAu at its relaxed geometry, computed with PBE.

Calculated values
SG: F-43m (216)
Size of the total moment in μB per formula unit: 7.217

The structure in POSCAR format:
```
GdErIrAu
1.0
0.000 3.514 3.514
3.514 0.000 3.514
3.514 3.514 0.000
Gd Er Ir Au
1 1 1 1
direct
0.000 0.000 0.000
0.500 0.500 0.500
0.750 0.750 0.750
0.250 0.250 0.250
```

No. 4
Crystalline LiGdErAu at its relaxed geometry, computed with PBE.

Calculated values
SG: F-43m (216)
Size of the total moment in μB per formula unit: 7.147

The structure in POSCAR format:
```
LiGdErAu
1.0
0.000 3.609 3.609
3.609 0.000 3.609
3.609 3.609 0.000
Li Gd Er Au
1 1 1 1
direct
0.000 0.000 0.000
0.250 0.250 0.250
0.750 0.750 0.750
0.500 0.500 0.500
```

No. 5
Crystalline GdErMgAu at its relaxed geometry, computed with PBE.

Calculated values
SG: F-43m (216)
Size of the total moment in μB per formula unit: 7.119

The structure in POSCAR format:
```
GdErMgAu
1.0
0.000 3.676 3.676
3.676 0.000 3.676
3.676 3.676 0.000
Gd Er Mg Au
1 1 1 1
direct
0.000 0.000 0.000
0.500 0.500 0.500
0.250 0.250 0.250
0.750 0.750 0.750
```

No. 6
Crystalline GdErMnAu at its relaxed geometry, computed with PBE.

Calculated values
SG: F-43m (216)
Size of the total moment in μB per formula unit: 3.804

The structure in POSCAR format:
```
GdErMnAu
1.0
0.000 3.576 3.576
3.576 0.000 3.576
3.576 3.576 0.000
Gd Er Mn Au
1 1 1 1
direct
0.000 0.000 0.000
0.500 0.500 0.500
0.750 0.750 0.750
0.250 0.250 0.250
```

No. 7
Crystalline GdErNiAu at its relaxed geometry, computed with PBE.

Calculated values
SG: F-43m (216)
Size of the total moment in μB per formula unit: 7.143

The structure in POSCAR format:
```
GdErNiAu
1.0
0.000 3.509 3.509
3.509 0.000 3.509
3.509 3.509 0.000
Gd Er Ni Au
1 1 1 1
direct
0.000 0.000 0.000
0.500 0.500 0.500
0.250 0.250 0.250
0.750 0.750 0.750
```

No. 8
Crystalline GdErOsAu at its relaxed geometry, computed with PBE.

Calculated values
SG: F-43m (216)
Size of the total moment in μB per formula unit: 6.989

The structure in POSCAR format:
```
GdErOsAu
1.0
0.000 3.496 3.496
3.496 0.000 3.496
3.496 3.496 0.000
Gd Er Os Au
1 1 1 1
direct
0.000 0.000 0.000
0.500 0.500 0.500
0.250 0.250 0.250
0.750 0.750 0.750
```

No. 9
Crystalline GdErPbAu at its relaxed geometry, computed with PBE.

Calculated values
SG: F-43m (216)
Size of the total moment in μB per formula unit: 7.837

The structure in POSCAR format:
```
GdErPbAu
1.0
0.000 3.720 3.720
3.720 0.000 3.720
3.720 3.720 0.000
Gd Er Pb Au
1 1 1 1
direct
0.000 0.000 0.000
0.500 0.500 0.500
0.250 0.250 0.250
0.750 0.750 0.750
```

No. 10
Crystalline GdErPdAu at its relaxed geometry, computed with PBE.

Calculated values
SG: F-43m (216)
Size of the total moment in μB per formula unit: 7.165

The structure in POSCAR format:
```
GdErPdAu
1.0
0.000 3.559 3.559
3.559 0.000 3.559
3.559 3.559 0.000
Gd Er Pd Au
1 1 1 1
direct
0.000 0.000 0.000
0.500 0.500 0.500
0.250 0.250 0.250
0.750 0.750 0.750
```

No. 11
Crystalline GdErRuAu at its relaxed geometry, computed with PBE.

Calculated values
SG: F-43m (216)
Size of the total moment in μB per formula unit: 6.962

The structure in POSCAR format:
```
GdErRuAu
1.0
0.000 3.501 3.501
3.501 0.000 3.501
3.501 3.501 0.000
Gd Er Ru Au
1 1 1 1
direct
0.000 0.000 0.000
0.500 0.500 0.500
0.250 0.250 0.250
0.750 0.750 0.750
```

No. 12
Crystalline GdErSnAu at its relaxed geometry, computed with PBE.

Calculated values
SG: F-43m (216)
Size of the total moment in μB per formula unit: 7.809

The structure in POSCAR format:
```
GdErSnAu
1.0
0.000 3.689 3.689
3.689 0.000 3.689
3.689 3.689 0.000
Gd Er Sn Au
1 1 1 1
direct
0.000 0.000 0.000
0.500 0.500 0.500
0.250 0.250 0.250
0.750 0.750 0.750
```

No. 13
Crystalline GdErTlAu at its relaxed geometry, computed with PBE.

Calculated values
SG: F-43m (216)
Size of the total moment in μB per formula unit: 7.380

The structure in POSCAR format:
```
GdErTlAu
1.0
0.000 3.705 3.705
3.705 0.000 3.705
3.705 3.705 0.000
Gd Er Tl Au
1 1 1 1
direct
0.000 0.000 0.000
0.500 0.500 0.500
0.250 0.250 0.250
0.750 0.750 0.750
```

No. 14
Crystalline GdErZnAu at its relaxed geometry, computed with PBE.

Calculated values
SG: F-43m (216)
Size of the total moment in μB per formula unit: 7.107

The structure in POSCAR format:
```
GdErZnAu
1.0
0.000 3.593 3.593
3.593 0.000 3.593
3.593 3.593 0.000
Gd Er Zn Au
1 1 1 1
direct
0.000 0.000 0.000
0.500 0.500 0.500
0.250 0.250 0.250
0.750 0.750 0.750
```

No. 15
Crystalline Er8Ge5Au at its relaxed geometry, computed with PBE.

Calculated values
SG: I-4 (82)
Size of the total moment in μB per formula unit: 0.000

The structure in POSCAR format:
```
Er8Ge5Au
1.0
-4.375 4.375 4.407
4.375 -4.375 4.407
4.375 4.375 -4.407
Er Ge Au
8 5 1
direct
0.013 0.127 0.754
0.249 0.494 0.616
0.367 0.751 0.244
0.374 0.259 0.246
0.506 0.123 0.756
0.741 0.987 0.115
0.873 0.626 0.885
0.877 0.633 0.384
0.127 0.005 0.377
0.250 0.873 0.878
0.500 0.500 0.000
0.628 0.750 0.623
0.995 0.372 0.122
0.750 0.250 0.500
```

No. 16
Crystalline Er3Ge2Au at its relaxed geometry, computed with PBE.

Calculated values
SG: Pnma (62)
Size of the total moment in μB per formula unit: 0.000

The structure in POSCAR format:
```
Er3Ge2Au
1.0
11.518 0.000 0.000
0.000 4.292 0.000
0.000 0.000 11.381
Er Ge Au
12 8 4
direct
0.053 0.250 0.123
0.126 0.750 0.565
0.211 0.250 0.810
0.289 0.750 0.310
0.374 0.250 0.065
0.447 0.750 0.623
0.553 0.250 0.377
0.626 0.750 0.935
0.711 0.250 0.690
0.789 0.750 0.190
0.874 0.250 0.435
0.947 0.750 0.877
0.007 0.750 0.308
0.184 0.750 0.010
0.316 0.250 0.510
0.493 0.250 0.808
0.507 0.750 0.192
0.684 0.750 0.490
0.816 0.250 0.990
0.993 0.250 0.692
0.132 0.250 0.368
0.368 0.750 0.868
0.632 0.250 0.132
0.868 0.750 0.632
```

No. 17
Crystalline ErGeAu2 at its relaxed geometry, computed with PBE.

Calculated values
SG: Fm-3m (225)
Size of the total moment in μB per formula unit: 0.000

The structure in POSCAR format:
```
ErGeAu2
1.0
0.000 3.433 3.433
3.433 0.000 3.433
3.433 3.433 0.000
Er Ge Au
1 1 2
direct
0.000 0.000 0.000
0.500 0.500 0.500
0.250 0.250 0.250
0.750 0.750 0.750
```

No. 18
Crystalline Er4GeAu3 at its relaxed geometry, computed with PBE.

Calculated values
SG: Pmm2 (25)
Size of the total moment in μB per formula unit: 0.000

The structure in POSCAR format:
```
Er4GeAu3
1.0
3.796 0.000 0.000
0.000 4.514 0.000
0.000 0.000 10.920
Er Ge Au
4 1 3
direct
0.000 0.000 0.000
0.000 0.500 0.279
0.500 0.000 0.498
0.500 0.500 0.779
0.500 0.000 0.227
0.000 0.000 0.728
0.000 0.500 0.550
0.500 0.500 0.053
```

No. 19
Crystalline ErGe3Au3 at its relaxed geometry, computed with PBE.

Calculated values
SG: Pm-3n (223)
Size of the total moment in μB per formula unit: 0.000

The structure in POSCAR format:
```
ErGe3Au3
1.0
7.050 0.000 0.000
0.000 7.050 0.000
0.000 0.000 7.050
Er Ge Au
2 6 6
direct
0.000 0.000 0.000
0.500 0.500 0.500
0.000 0.250 0.500
0.000 0.750 0.500
0.250 0.500 0.000
0.500 0.000 0.250
0.500 0.000 0.750
0.750 0.500 0.000
0.000 0.500 0.250
0.000 0.500 0.750
0.250 0.000 0.500
0.500 0.250 0.000
0.500 0.750 0.000
0.750 0.000 0.500
```

No. 20
Crystalline ErGe2Au2 at its relaxed geometry, computed with PBE.

Calculated values
SG: Cmcm (63)
Size of the total moment in μB per formula unit: 0.000

The structure in POSCAR format:
```
ErGe2Au2
1.0
2.100 -11.221 0.000
2.100 11.221 0.000
0.000 0.000 4.188
Er Ge Au
2 4 4
direct
0.150 0.850 0.750
0.850 0.150 0.250
0.250 0.750 0.250
0.373 0.627 0.750
0.627 0.373 0.250
0.750 0.250 0.750
0.048 0.952 0.250
0.453 0.547 0.250
0.547 0.453 0.750
0.952 0.048 0.750
```

no.,calculated formation energy (meV per atom)
1,-655
2,-614
3,-814
4,-400
5,-407
6,-259
7,-578
8,-466
9,-618
10,-850
11,-571
12,-729
13,-565
14,-590
15,-805
16,-790
17,-560
18,-862
19,134
20,-400